(1)
Entry from Alexandria: Ca2BeB after structural relaxation (GGA-PBE).

POSCAR file:
```
Ca2BeB
1.0
0.000 3.373 3.373
3.373 0.000 3.373
3.373 3.373 0.000
Ca Be B
2 1 1
Cartesian
1.686 1.686 1.686
5.059 5.059 5.059
0.000 0.000 0.000
3.373 3.373 3.373
```

Summary:
Polymorph energy (0 for the lowest one) in meV per atom: 0.0
Formation energy from the elements in eV per atom: 0.58
Symmetry: Fm-3m (225)

(2)
Entry from Alexandria: Ca2BeB after structural relaxation (GGA-PBE).

POSCAR file:
```
Ca2BeB
1.0
-3.768 3.768 3.274
3.768 -3.768 3.274
3.768 3.768 -3.274
Ca Be B
4 2 2
Cartesian
1.884 1.588 -0.818
2.180 -1.884 4.092
1.884 2.180 2.455
1.588 5.652 0.818
3.768 0.000 1.637
0.000 0.000 3.274
0.000 0.000 0.000
0.000 3.768 1.637
```

Summary:
Polymorph energy (0 for the lowest one) in meV per atom: 366.3
Formation energy from the elements in eV per atom: 0.94
Symmetry: I-42d (122)

(3)
Entry from Alexandria: NaCaBe2B2O6F after structural relaxation (GGA-PBE).

POSCAR file:
```
NaCaBe2B2O6F
1.0
2.340 -4.051 0.000
2.340 4.051 0.000
-0.038 0.000 14.399
Na Ca Be B O F
2 2 4 4 12 2
Cartesian
2.321 4.021 7.199
2.340 -4.021 0.000
4.611 0.046 3.610
4.592 -0.046 10.809
2.184 1.302 5.588
2.271 1.454 8.843
2.165 -1.302 12.787
2.290 -1.454 1.643
2.201 1.450 12.405
2.353 1.250 2.021
2.220 -1.450 5.206
2.334 -1.250 9.220
0.989 1.387 1.870
1.641 0.188 12.448
1.660 -0.188 5.248
0.970 -1.387 9.069
3.186 2.317 2.328
3.549 1.623 12.129
2.904 0.014 9.135
3.762 1.480 5.375
2.923 -0.014 1.936
3.568 -1.623 4.930
3.167 -2.317 9.528
3.743 -1.480 12.574
1.891 1.508 7.218
1.910 -1.508 0.018
```

Summary:
Formation energy without anion corrections in eV/atom: -2.74
Symmetry: Cc (9)

no.,total energy (eV/atom)
1,-3.0247
2,-2.6584
3,-7.0272